1.
Entry from Alexandria via LeMat-Bulk: a relaxed Ba3Rh2Pb4 crystal (PBE).

```
Ba3Rh2Pb4
1.0
6.374 -2.461 0.000
6.374 2.461 0.000
-1.702 0.000 9.193
Ba Rh Pb
3 2 4
direct
0.000 0.000 0.000
0.390 0.390 0.307
0.610 0.610 0.693
0.285 0.285 0.614
0.715 0.715 0.386
0.117 0.117 0.388
0.296 0.296 0.915
0.704 0.704 0.085
0.883 0.883 0.612
```

ΔE_f (eV per atom): -0.420
Space group: C2/m
Total energy (eV/atom): -4.3425
DOS(E_F) (states/eV per atom): 0.698



2.
Entry from Alexandria via LeMat-Bulk: a relaxed Cd4Mo crystal (PBE).

```
Cd4Mo
1.0
5.465 0.000 0.000
0.000 5.465 0.000
0.000 0.000 5.465
Cd Mo
4 1
direct
0.000 0.000 0.000
0.000 0.500 0.500
0.500 0.000 0.500
0.500 0.500 0.000
0.500 0.500 0.500
```

ΔE_f (eV per atom): 0.952
Space group: Pm-3m
Total energy (eV/atom): -1.9468
DOS(E_F) (states/eV per atom): 0.682



3.
Entry from Alexandria via LeMat-Bulk: a relaxed Na2TlAsCl6 crystal (PBE).

```
Na2TlAsCl6
1.0
3.562 2.057 6.489
-3.562 2.057 6.489
0.000 -4.113 6.489
Na Tl As Cl
2 1 1 6
direct
0.000 0.000 0.000
0.478 0.478 0.478
0.192 0.192 0.192
0.674 0.674 0.674
0.048 0.437 0.752
0.303 0.850 0.632
0.437 0.752 0.048
0.632 0.303 0.850
0.752 0.048 0.437
0.850 0.632 0.303
```

E_form (uncorrected) (meV per atom): -1177
Space group: R3
Total energy (eV/atom): -3.2505
DOS(E_F) (states/eV per atom): 0.000



4.
Entry from Alexandria via LeMat-Bulk: a relaxed K2CrAs crystal (PBE).

```
K2CrAs
1.0
-2.321 2.321 5.140
2.321 -2.321 5.140
2.321 2.321 -5.140
K Cr As
2 1 1
direct
0.250 0.750 0.500
0.750 0.250 0.500
0.000 0.000 0.000
0.500 0.500 0.000
```

ΔE_f (eV per atom): 0.403
Space group: I4/mmm
Total energy (eV/atom): -3.7137
DOS(E_F) (states/eV per atom): 0.222



5.
Entry from Alexandria via LeMat-Bulk: a relaxed BaMnAl2 crystal (PBE).

```
BaMnAl2
1.0
0.000 3.625 3.625
3.625 0.000 3.625
3.625 3.625 0.000
Ba Mn Al
1 1 2
direct
0.000 0.000 0.000
0.250 0.250 0.250
0.500 0.500 0.500
0.750 0.750 0.750
```

ΔE_f (eV per atom): 0.396
Space group: F-43m
Total energy (eV/atom): -4.2486
DOS(E_F) (states/eV per atom): 0.852



6.
Entry from Alexandria via LeMat-Bulk: a relaxed UAlIr2 crystal (PBE).

```
UAlIr2
1.0
3.000 0.000 0.000
0.000 3.000 0.000
0.000 0.000 7.235
U Al Ir
1 1 2
direct
0.000 0.000 0.000
0.000 0.000 0.500
0.500 0.500 0.284
0.500 0.500 0.716
```

ΔE_f (eV per atom): -0.693
Space group: P4/mmm
Total energy (eV/atom): -8.8813
DOS(E_F) (states/eV per atom): 1.014



7.
Entry from Alexandria via LeMat-Bulk: a relaxed TbEuErTl crystal (PBE).

```
TbEuErTl
1.0
0.000 3.899 3.899
3.899 0.000 3.899
3.899 3.899 0.000
Tb Eu Er Tl
1 1 1 1
direct
0.000 0.000 0.000
0.250 0.250 0.250
0.500 0.500 0.500
0.750 0.750 0.750
```

ΔE_f (eV per atom): -0.016
Space group: F-43m
Total energy (eV/atom): -5.4741
DOS(E_F) (states/eV per atom): 1.485



8.
Entry from Alexandria via LeMat-Bulk: a relaxed Sr2CrBiRu crystal (PBE).

```
Sr2CrBiRu
1.0
5.910 0.000 0.000
0.000 5.910 0.000
0.000 0.000 5.024
Sr Cr Bi Ru
2 1 1 1
direct
0.000 0.500 0.000
0.500 0.000 0.000
0.000 0.000 0.000
0.000 0.000 0.500
0.500 0.500 0.500
```

ΔE_f (eV per atom): 0.992
Space group: P4/mmm
Total energy (eV/atom): -4.2366
DOS(E_F) (states/eV per atom): 1.272



9.
Entry from Alexandria via LeMat-Bulk: a relaxed BeAsIrSe2 crystal (PBE).

```
BeAsIrSe2
1.0
4.485 0.000 0.000
0.000 4.485 0.000
0.000 0.000 4.252
Be As Ir Se
1 1 1 2
direct
0.000 0.000 0.000
0.000 0.000 0.500
0.500 0.500 0.500
0.000 0.500 0.000
0.500 0.000 0.000
```

E_form (uncorrected) (meV per atom): 777
Excess energy over the best structure of this formula in the dataset (meV/atom): 0.0
Space group: P4/mmm
Total energy (eV/atom): -4.0639
DOS(E_F) (states/eV per atom): 0.592



10.
Entry from Alexandria via LeMat-Bulk: a relaxed TbCe12Th7 crystal (PBE).

```
TbCe12Th7
1.0
-5.535 5.535 5.535
5.535 -5.535 5.535
5.535 5.535 -5.535
Tb Ce Th
1 12 7
direct
0.000 0.000 0.000
0.094 0.302 0.793
0.207 0.509 0.302
0.207 0.906 0.698
0.302 0.207 0.509
0.302 0.793 0.094
0.491 0.698 0.793
0.509 0.302 0.207
0.698 0.207 0.906
0.698 0.793 0.491
0.793 0.094 0.302
0.793 0.491 0.698
0.906 0.698 0.207
0.000 0.000 0.500
0.000 0.500 0.000
0.000 0.500 0.500
0.500 0.000 0.000
0.500 0.000 0.500
0.500 0.500 0.000
0.500 0.500 0.500
```

ΔE_f (eV per atom): 0.813
Space group: Im-3
Total energy (eV/atom): -5.5758
DOS(E_F) (states/eV per atom): 3.617



11.
Entry from Alexandria via LeMat-Bulk: a relaxed K3Rb3NaHg2 crystal (PBE).

```
K3Rb3NaHg2
1.0
10.144 0.000 0.000
-5.072 8.785 0.000
0.000 0.000 5.691
K Rb Na Hg
3 3 1 2
direct
0.000 0.415 0.000
0.415 0.000 0.000
0.585 0.585 0.000
0.000 0.725 0.500
0.275 0.275 0.500
0.725 0.000 0.500
0.000 0.000 0.000
0.333 0.667 0.500
0.667 0.333 0.500
```

ΔE_f (eV per atom): -0.063
Space group: P-62m
Total energy (eV/atom): -0.9647
DOS(E_F) (states/eV per atom): 0.571



12.
Entry from Alexandria via LeMat-Bulk: a relaxed Cu15Rh4Au crystal (PBE).

```
Cu15Rh4Au
1.0
3.721 0.000 0.000
0.000 3.721 0.000
0.000 0.000 18.500
Cu Rh Au
15 4 1
direct
0.000 0.000 0.000
0.000 0.000 0.203
0.000 0.000 0.401
0.000 0.000 0.599
0.000 0.000 0.797
0.000 0.500 0.104
0.000 0.500 0.302
0.000 0.500 0.500
0.000 0.500 0.698
0.000 0.500 0.896
0.500 0.000 0.104
0.500 0.000 0.302
0.500 0.000 0.500
0.500 0.000 0.698
0.500 0.000 0.896
0.500 0.500 0.204
0.500 0.500 0.401
0.500 0.500 0.599
0.500 0.500 0.796
0.500 0.500 0.000
```

ΔE_f (eV per atom): 0.022
Space group: P4/mmm
Total energy (eV/atom): -4.6839
DOS(E_F) (states/eV per atom): 0.930



13.
Entry from Alexandria via LeMat-Bulk: a relaxed MgW3I crystal (PBE).

```
MgW3I
1.0
4.884 0.000 0.000
0.000 4.884 0.000
0.000 0.000 4.884
Mg W I
1 3 1
direct
0.000 0.000 0.000
0.000 0.500 0.500
0.500 0.000 0.500
0.500 0.500 0.000
0.500 0.500 0.500
```

E_form (uncorrected) (meV per atom): 2527
Excess energy over the best structure of this formula in the dataset (meV/atom): 0.0
Space group: Pm-3m
Total energy (eV/atom): -5.8743
DOS(E_F) (states/eV per atom): 1.035



14.
Entry from Alexandria via LeMat-Bulk: a relaxed SmTm5Sn6 crystal (PBE).

```
SmTm5Sn6
1.0
2.841 -6.975 0.000
2.841 6.975 0.000
-1.799 0.000 8.258
Sm Tm Sn
1 5 6
direct
0.000 0.000 0.000
0.000 0.000 0.500
0.330 0.670 0.000
0.338 0.662 0.500
0.662 0.338 0.500
0.670 0.330 0.000
0.165 0.827 0.255
0.173 0.835 0.745
0.482 0.482 0.754
0.518 0.518 0.246
0.827 0.165 0.255
0.835 0.173 0.745
```

ΔE_f (eV per atom): -0.591
Space group: C2/m
Total energy (eV/atom): -4.8487
DOS(E_F) (states/eV per atom): 0.504



15.
Entry from Alexandria via LeMat-Bulk: a relaxed Ge2IrRh3 crystal (PBE).

```
Ge2IrRh3
1.0
-2.715 6.236 2.701
2.715 -6.236 2.701
2.715 6.236 -2.701
Ge Ir Rh
4 2 6
direct
0.132 0.235 0.367
0.368 0.735 0.103
0.632 0.265 0.897
0.868 0.765 0.633
0.250 0.750 0.500
0.750 0.250 0.500
0.176 0.722 0.898
0.250 0.250 0.000
0.324 0.222 0.546
0.676 0.778 0.454
0.750 0.750 0.000
0.824 0.278 0.102
```

ΔE_f (eV per atom): -0.233
Space group: Ibam
Total energy (eV/atom): -6.9251
DOS(E_F) (states/eV per atom): 1.200



16.
Entry from Alexandria via LeMat-Bulk: a relaxed ScBeOs2 crystal (PBE).

```
ScBeOs2
1.0
0.000 3.072 3.072
3.072 0.000 3.072
3.072 3.072 0.000
Sc Be Os
1 1 2
direct
0.000 0.000 0.000
0.250 0.250 0.250
0.500 0.500 0.500
0.750 0.750 0.750
```

ΔE_f (eV per atom): 0.069
Space group: F-43m
Total energy (eV/atom): -8.0599
DOS(E_F) (states/eV per atom): 0.990



17.
Entry from Alexandria via LeMat-Bulk: a relaxed MgB2I crystal (PBE).

```
MgB2I
1.0
0.000 3.175 3.175
3.175 0.000 3.175
3.175 3.175 0.000
Mg B I
1 2 1
direct
0.000 0.000 0.000
0.250 0.250 0.250
0.750 0.750 0.750
0.500 0.500 0.500
```

E_form (uncorrected) (meV per atom): 1779
Excess energy over the best structure of this formula in the dataset (meV/atom): 331.3
Space group: Fm-3m
Total energy (eV/atom): -2.3459
DOS(E_F) (states/eV per atom): 0.466



18.
Entry from Alexandria via LeMat-Bulk: a relaxed Sc4Sb5O crystal (PBE).

```
Sc4Sb5O
1.0
8.452 -1.641 0.000
8.452 1.641 0.000
-0.781 0.000 8.446
Sc Sb O
4 5 1
direct
0.012 0.012 0.323
0.348 0.348 0.429
0.652 0.652 0.571
0.988 0.988 0.677
0.149 0.149 0.869
0.180 0.180 0.293
0.500 0.500 0.000
0.820 0.820 0.707
0.851 0.851 0.131
0.500 0.500 0.500
```

E_form (uncorrected) (meV per atom): -885
Space group: C2/m
Total energy (eV/atom): -5.9751
DOS(E_F) (states/eV per atom): 0.329



19.
Entry from Alexandria via LeMat-Bulk: a relaxed Pr3BiTeBr crystal (PBE).

```
Pr3BiTeBr
1.0
9.420 0.000 0.000
0.000 4.394 0.000
-0.476 0.000 10.503
Pr Bi Te Br
6 2 2 2
direct
0.117 0.250 0.364
0.348 0.750 0.056
0.381 0.750 0.664
0.619 0.250 0.336
0.652 0.250 0.944
0.883 0.750 0.636
0.369 0.750 0.358
0.631 0.250 0.642
0.130 0.250 0.674
0.870 0.750 0.326
0.132 0.250 0.073
0.868 0.750 0.927
```

E_form (uncorrected) (meV per atom): -1083
Space group: P2_1/m
Total energy (eV/atom): -4.9223
DOS(E_F) (states/eV per atom): 0.498



20.
Entry from Alexandria via LeMat-Bulk: a relaxed Rb3CuAu crystal (PBE).

```
Rb3CuAu
1.0
6.596 0.000 0.000
0.000 6.596 0.000
0.000 0.000 6.596
Rb Cu Au
3 1 1
direct
0.000 0.000 0.500
0.000 0.500 0.000
0.500 0.000 0.000
0.500 0.500 0.500
0.000 0.000 0.000
```

Excess energy over the best structure of this formula in the dataset (meV/atom): 0.0
ΔE_f (eV per atom): 0.227
Space group: Pm-3m
Total energy (eV/atom): -1.8281
DOS(E_F) (states/eV per atom): 1.328



21.
Entry from Alexandria via LeMat-Bulk: a relaxed TbDy2Zn crystal (PBE).

```
TbDy2Zn
1.0
0.000 3.766 3.766
3.766 0.000 3.766
3.766 3.766 0.000
Tb Dy Zn
1 2 1
direct
0.000 0.000 0.000
0.250 0.250 0.250
0.750 0.750 0.750
0.500 0.500 0.500
```

Excess energy over the best structure of this formula in the dataset (meV/atom): 220.3
ΔE_f (eV per atom): 0.060
Space group: Fm-3m
Total energy (eV/atom): -3.7173
DOS(E_F) (states/eV per atom): 1.163



22.
Entry from Alexandria via LeMat-Bulk: a relaxed NdPb4F10 crystal (PBE).

```
NdPb4F10
1.0
-4.671 4.671 3.084
4.671 -4.671 3.084
4.671 4.671 -3.084
Nd Pb F
1 4 10
direct
0.000 0.000 0.000
0.199 0.599 0.798
0.401 0.199 0.599
0.599 0.801 0.401
0.801 0.401 0.202
0.035 0.126 0.713
0.126 0.412 0.091
0.250 0.750 0.500
0.322 0.035 0.909
0.412 0.322 0.287
0.588 0.678 0.713
0.678 0.965 0.091
0.750 0.250 0.500
0.874 0.588 0.909
0.965 0.874 0.287
```

E_form (uncorrected) (meV per atom): -2653
Space group: I4/m
Total energy (eV/atom): -5.2075
DOS(E_F) (states/eV per atom): 0.360



23.
Entry from Alexandria via LeMat-Bulk: a relaxed Al2CuSi crystal (PBE).

```
Al2CuSi
1.0
4.360 0.000 0.000
-2.180 3.775 0.000
0.000 0.000 7.851
Al Cu Si
4 2 2
direct
0.333 0.667 0.086
0.333 0.667 0.414
0.667 0.333 0.586
0.667 0.333 0.914
0.333 0.667 0.750
0.667 0.333 0.250
0.000 0.000 0.000
0.000 0.000 0.500
```

E_form (uncorrected) (meV per atom): 282
Space group: P6_3/mmc
Total energy (eV/atom): -3.9694
DOS(E_F) (states/eV per atom): 0.491



24.
Entry from Alexandria via LeMat-Bulk: a relaxed Si2SnRhO crystal (PBE).

```
Si2SnRhO
1.0
4.830 0.000 0.000
0.000 3.053 0.000
-1.770 0.000 5.493
Si Sn Rh O
2 1 1 1
direct
0.000 0.000 0.000
0.275 0.000 0.707
0.664 0.000 0.366
0.173 0.500 0.348
0.622 0.000 0.912
```

E_form (uncorrected) (meV per atom): -757
Excess energy over the best structure of this formula in the dataset (meV/atom): 29.7
Space group: Pm
Total energy (eV/atom): -6.1888
DOS(E_F) (states/eV per atom): 0.290